(1)
Cs4K2As: relaxed, GGA-PBE.

The structure in extended XYZ format:
```
7
Lattice="6.207 0.000 -2.148 -1.142 8.765 -3.299 -0.077 -0.531 9.819" Properties=species:S:1:pos:R:3 pbc="T T T"
Cs 5.101 1.354 4.697
Cs 3.032 1.971 -1.279
Cs -0.113 6.880 -0.325
Cs 1.956 6.263 5.651
K 0.765 2.381 2.211
K 4.223 5.853 2.161
As 0.000 0.000 0.000
```

Energy relative to the lowest polymorph listed for this composition: 0.000 eV per atom
Total DFT energy (no corrections): -1.61 eV/atom
DOS(E_F): 0.66 states/eV/atom
Space-group type: C2/m
E_form: -140 meV/atom
Crystal system: monoclinic


(2)
TaReRh2: relaxed, GGA-PBE.

The structure in extended XYZ format:
```
4
Lattice="2.773 -3.921 0.000 2.773 3.921 0.000 0.000 0.000 2.780" Properties=species:S:1:pos:R:3 pbc="T T T"
Rh 1.386 1.960 0.000
Rh 1.386 -1.960 0.000
Ta 0.000 0.000 1.390
Re 2.773 0.000 1.390
```

Energy relative to the lowest polymorph listed for this composition: 0.041 eV per atom
Total DFT energy (no corrections): -10.08 eV/atom
DOS(E_F): 0.64 states/eV/atom
Space-group type: Cmmm
E_form: -328 meV/atom
Crystal system: orthorhombic


(3)
AgPPbS2: relaxed, GGA-PBE.

The structure in extended XYZ format:
```
5
Lattice="5.261 0.000 0.000 0.000 5.261 0.000 0.000 0.000 5.242" Properties=species:S:1:pos:R:3 pbc="T T T"
S 0.000 2.631 0.000
S 2.631 0.000 0.000
Pb 0.000 0.000 0.000
P 0.000 0.000 2.621
Ag 2.631 2.631 2.621
```

Energy relative to the lowest polymorph listed for this composition: 0.417 eV per atom
Total DFT energy (no corrections): -3.06 eV/atom
DOS(E_F): 0.84 states/eV/atom
ΔE_f (raw): 982 meV/atom
Space-group type: P4/mmm
Crystal system: tetragonal


(4)
CaNd5Pt4: relaxed, GGA-PBE.

The structure in extended XYZ format:
```
10
Lattice="-1.414 1.659 -3.600 -7.159 -3.237 1.321 1.776 8.055 5.474" Properties=species:S:1:pos:R:3 pbc="T T T"
Nd -4.250 4.890 1.463
Nd -0.544 6.565 0.779
Nd -2.548 1.587 1.732
Nd -6.253 -0.088 2.415
Nd -4.287 -0.789 -1.140
Pt -5.372 -2.428 0.991
Pt -5.026 2.571 3.159
Pt -1.772 3.906 0.036
Pt -1.426 8.905 2.204
Ca -0.707 0.829 -1.800
```

Total DFT energy (no corrections): -5.85 eV/atom
DOS(E_F): 0.54 states/eV/atom
Space-group type: C2/m
E_form: -854 meV/atom
Crystal system: monoclinic


Mass density (g cm⁻³)
2.184, 15.738, 4.694, 8.652